Material: AlReB2Mo
Method: DFT, SCAN
State: single point on PBEsol structure

total magnetic moment	0.2095	μB/atom
energy relative to the elements	2057	meV/atom
space-group type	No. 123

Cell lengths 3.907, 3.907, 4.590 Å; angles 90.00, 90.00, 90.00 degrees
Last column: magnetic moment on the atom in μB.
Element x y z (fractional)
Re 0.000 0.000 0.500  -0.78
Mo 0.500 0.500 0.500  1.80
B 0.000 0.500 0.000  0.00
B 0.500 0.000 0.000  0.00
Al 0.000 0.000 0.000  0.03

=====

Material: AlBN3
Method: DFT, SCAN
State: single point on PBEsol structure

total magnetic moment	0.8925	μB/atom
uncorrected formation energy	1.99	eV per atom
space-group type	No. 221

Cell lengths 3.710, 3.710, 3.710 Å; angles 90.00, 90.00, 90.00 degrees
Last column: magnetic moment on the atom in μB.
Element x y z (fractional)
B 0.500 0.500 0.500  0.12
Al 0.000 0.000 0.000  -0.04
N 0.000 0.500 0.000  1.06
N 0.000 0.000 0.500  1.06
N 0.500 0.000 0.000  1.06

=====

Material: AlBN3
Method: DFT, SCAN
State: single point on PBEsol structure

total magnetic moment	0.0016	μB/atom
uncorrected formation energy	1.16	eV per atom
space-group type	No. 221

Cell lengths 3.345, 3.345, 3.345 Å; angles 90.00, 90.00, 90.00 degrees
Element x y z (fractional)
B 0.000 0.000 0.000
Al 0.500 0.500 0.500
N 0.000 0.500 0.000
N 0.000 0.000 0.500
N 0.500 0.000 0.000

=====

Material: NaAlB14
Method: DFT, SCAN
State: single point on PBEsol structure

total magnetic moment	0.0000	μB/atom
energy relative to the elements	-190	meV/atom
space-group type	No. 74

Cell lengths 5.829, 7.236, 7.236 Å; angles 68.96, 66.25, 66.25 degrees
Element x y z (fractional)
Na 0.250 0.097 0.403
Na 0.750 0.903 0.597
B 0.100 0.897 0.223
B 0.329 0.465 0.377
B 0.329 0.877 0.965
B 0.280 0.723 0.397
B 0.586 0.583 0.246
B 0.648 0.728 0.976
B 0.666 0.303 0.366
B 0.600 0.723 0.397
B 0.829 0.877 0.965
B 0.829 0.465 0.377
B 0.220 0.103 0.777
B 0.780 0.897 0.223
B 0.171 0.535 0.623
B 0.171 0.123 0.035
B 0.400 0.277 0.603
B 0.086 0.746 0.083
B 0.148 0.476 0.228
B 0.166 0.866 0.803
B 0.334 0.697 0.634
B 0.352 0.272 0.024
B 0.414 0.417 0.754
B 0.720 0.277 0.603
B 0.671 0.123 0.035
B 0.671 0.535 0.623
B 0.900 0.103 0.777
B 0.834 0.134 0.197
B 0.852 0.524 0.772
B 0.914 0.254 0.917
Al 0.000 0.500 0.000
Al 0.500 0.500 0.000

=====

| no. | calculated total energy (eV/atom) |
| --- | --- |
| 1 | -23.662 |
| 2 | -6.620 |
| 3 | -7.450 |
| 4 | -7.439 |